i) Computed, not measured: HfSi3C after structural relaxation at the PBE level of DFT.

Results
As for the crystal system: cubic.

abc: 4.1099 4.1099 4.1099
angles: 90.00 90.00 90.00
Closest atoms and distances in Å follow each position.
Sites, in units of the cell vectors:
Hf  0.0000  0.0000  0.0000  12 Si 2.91
Si  0.0000  0.5000  0.5000  2 C 2.05
Si  0.5000  0.0000  0.5000  2 C 2.05
Si  0.5000  0.5000  0.0000  2 C 2.05
C  0.5000  0.5000  0.5000  6 Si 2.05



ii) Computed, not measured: HfSi3C after structural relaxation at the PBE level of DFT.

Results
As for the crystal system: cubic.

abc: 5.0696 5.0696 5.0696
angles: 90.00 90.00 90.00
Closest atoms and distances in Å follow each position.
Sites, in units of the cell vectors:
Hf  0.0000  0.0000  0.0000  6 Si 2.53
Si  0.0000  0.0000  0.5000  2 Hf 2.53
Si  0.0000  0.5000  0.0000  2 Hf 2.53
Si  0.5000  0.0000  0.0000  2 Hf 2.53
C  0.5000  0.5000  0.5000  12 Si 3.58



Verdict on stability: ii) comes out at the bottom.